First-principles (GGA-PBE) data for Tl3HgSe after structural relaxation, as listed in Alexandria.

```
Tl3HgSe
1.0
5.672 0.000 0.000
0.000 5.672 0.000
0.000 0.000 5.672
Tl Hg Se
3 1 1
Cartesian
0.000 2.836 0.000 Tl
0.000 0.000 2.836 Tl
2.836 0.000 0.000 Tl
0.000 0.000 0.000 Hg
2.836 2.836 2.836 Se
```

Summary:
E_form (uncorrected), eV per atom: 0.195
E above lowest polymorph, meV/atom: 365.5
Space group: Pm-3m, No. 221
Total magnetic moment, Bohr magnetons per cell: 0.0